(1)
First-principles (PBE) data for a relaxed structure of Li9CuPd2, as listed in the Alexandria database.

abc: 4.098 6.324 8.059
angles: 72.40 75.70 71.54
Space group P-1 (No. 2)
Unique sites:
1 Li 0.000 0.000 0.000 x1
2 Li 0.099 0.583 0.223 x2
3 Li 0.154 0.199 0.492 x2
4 Li 0.253 0.714 0.776 x2
5 Li 0.425 0.908 0.245 x2
6 Cu 0.500 0.500 0.500 x1
7 Pd 0.342 0.313 0.007 x2

Computed properties:
- calculated volume (A^3/atom) = 15.52
- raw total energy (Ry per atom) = -0.20670

---

(2)
First-principles (PBE) data for a relaxed structure of Li3CuPd3, as listed in the Alexandria database.

abc: 8.4010 8.4010 5.1998
angles: 90.00 90.00 120.00
Space group R3m (No. 160, hexagonal axes)
Unique sites:
1 Li 0.0006 0.5003 0.0000 x9
2 Cu 0.0000 0.0000 0.0023 x3
3 Pd 0.0006 0.5003 0.5000 x9

Computed properties:
- calculated volume (A^3/atom) = 15.13
- raw total energy (Ry per atom) = -0.28801
- relative energy among the computed polymorphs (eV/atom) = 0.000

---

(3)
First-principles (PBE) data for a relaxed structure of Li4CuPd7, as listed in the Alexandria database.

abc: 12.105 4.703 7.439
angles: 90.00 123.51 90.00
Space group C2/m (No. 12)
Unique sites:
1 Li 0.050 0.000 0.214 x4
2 Li 0.185 0.000 0.853 x4
3 Cu 0.000 0.500 0.500 x2
4 Pd 0.000 0.000 0.500 x2
5 Pd 0.073 0.500 0.913 x4
6 Pd 0.208 0.500 0.374 x4
7 Pd 0.247 0.500 0.776 x4

Computed properties:
- calculated volume (A^3/atom) = 14.71
- raw total energy (Ry per atom) = -0.30379
- relative energy among the computed polymorphs (eV/atom) = 0.111

---

(4)
First-principles (PBE) data for a relaxed structure of Li6CuPd8, as listed in the Alexandria database.

abc: 6.9938 6.9938 16.0432
angles: 90.00 90.00 120.00
Space group R-3 (No. 148, hexagonal axes)
Unique sites:
1 Li 0.0211 0.2661 0.3847 x18
2 Cu 0.0000 0.0000 0.0000 x3
3 Pd 0.0000 0.0000 0.2572 x6
4 Pd 0.0076 0.7572 0.1188 x18

Computed properties:
- calculated volume (A^3/atom) = 15.10
- raw total energy (Ry per atom) = -0.29401
- relative energy among the computed polymorphs (eV/atom) = 0.091